(1)
CeSm2Br | GGA-PBE | optimized geometry

## Properties
polymorph energy (0 for the lowest one) = 0.41 eV/f.u.
raw formation energy = -409 meV/atom

a b c (Å): 3.548 3.548 9.609
angles (deg): 90.00 90.00 90.00
Fractional coordinates of all 4 atoms:
Ce (0.000, 0.000, 0.000)
Sm (0.500, 0.500, 0.260)
Sm (0.500, 0.500, 0.740)
Br (0.000, 0.000, 0.500)

---

(2)
Nd6ErZn | GGA-PBE | optimized geometry

## Properties
energy of formation = 26 meV/atom

a b c (Å): 6.421 6.421 6.421
angles (deg): 95.88 95.88 95.88
Fractional coordinates of all 8 atoms:
Nd (0.046, 0.764, 0.574)
Nd (0.236, 0.426, 0.954)
Nd (0.426, 0.954, 0.236)
Nd (0.574, 0.046, 0.764)
Nd (0.764, 0.574, 0.046)
Nd (0.954, 0.236, 0.426)
Er (0.500, 0.500, 0.500)
Zn (0.000, 0.000, 0.000)

---

(3)
La5UAs6 | GGA-PBE | optimized geometry

## Properties
energy of formation = -1422 meV/atom

a b c (Å): 7.487 7.487 7.483
angles (deg): 99.62 99.62 120.00
Fractional coordinates of all 12 atoms:
La (0.000, 0.000, 0.000)
La (0.166, 0.834, 0.500)
La (0.331, 0.669, 0.000)
La (0.669, 0.331, 0.000)
La (0.834, 0.166, 0.500)
U (0.500, 0.500, 0.500)
As (0.101, 0.420, 0.259)
As (0.263, 0.263, 0.742)
As (0.420, 0.101, 0.259)
As (0.580, 0.899, 0.741)
As (0.737, 0.737, 0.258)
As (0.899, 0.580, 0.741)

---

no.,Fermi-level density of states (states/eV/f.u.)
1,6.3
2,11.0
3,9.1